Crystalline K2Rb3NpS6 at its relaxed geometry. Source: Alexandria, functional PBE.

Cell and atoms, written as extended XYZ:
```
12
Lattice="3.8899 -6.6683 0.0000 3.8899 6.6683 0.0000 -2.6354 0.0000 7.3710" Properties=species:S:1:pos:R:3 pbc="T T T"
K 3.8899 4.4593 0.0000
K 3.8899 -4.4593 0.0000
Rb -1.3177 0.0000 3.6855
Rb 2.5722 2.3175 3.6855
Rb 2.5722 -2.3175 3.6855
Np 3.8899 0.0000 0.0000
S 0.2203 1.7952 5.9088
S 1.8345 0.0000 1.4522
S 0.2203 -1.7952 5.9088
S 4.9240 1.7952 1.4622
S 3.3098 0.0000 5.9188
S 4.9240 -1.7952 1.4622
```

E_form (uncorrected): -1301.8 kJ/mol of formula units
Size of the total moment: 0.0 μB/f.u.